The following is a PBE calculation of a relaxed EuMg2Au crystal, from the Alexandria database.

Cell: 3.4656 3.4656 8.1635 Å, 90.00 90.00 90.00°
Last column: nearest neighbours and their distance in Å.
Space group P4/mmm (No. 123)
Inequivalent atoms, fractional coordinates:
Eu  0.0000  0.0000  0.0000  4 Eu 3.47, 8 Mg 3.55
Mg  0.5000  0.5000  0.3151  4 Au 2.88, 1 Mg 3.02
Au  0.0000  0.0000  0.5000  8 Mg 2.88

Computed properties:
DOS(E_F), states/eV/f.u.: 2.047
ΔE_f, eV/f.u.: -1.34

The following is a PBE calculation of a relaxed TiTlI3 crystal, from the Alexandria database.

Cell: 5.7307 5.7307 5.7307 Å, 90.00 90.00 90.00°
Last column: nearest neighbours and their distance in Å.
Space group Pm-3m (No. 221)
Inequivalent atoms, fractional coordinates:
Ti  0.0000  0.0000  0.0000  6 I 2.87
Tl  0.5000  0.5000  0.5000  12 I 4.05
I  0.0000  0.0000  0.5000  2 Ti 2.87

Computed properties:
DOS(E_F), states/eV/f.u.: 11.798
Uncorrected formation energy, meV per atom: -500
ΔE to the lowest computed polymorph, eV per atom: 0.085

What did the second record say?
The following is a PBE calculation of a relaxed TiTlI3 crystal, from the Alexandria database.

Cell: 5.7307 5.7307 5.7307 Å, 90.00 90.00 90.00°
Last column: nearest neighbours and their distance in Å.
Space group Pm-3m (No. 221)
Inequivalent atoms, fractional coordinates:
Ti  0.0000  0.0000  0.0000  6 I 2.87
Tl  0.5000  0.5000  0.5000  12 I 4.05
I  0.0000  0.0000  0.5000  2 Ti 2.87

Computed properties:
DOS(E_F), states/eV/f.u.: 11.798
Uncorrected formation energy, meV per atom: -500
ΔE to the lowest computed polymorph, eV per atom: 0.085